Record 1
Density functional theory data (SCAN) for Mn5Co at its PBEsol-relaxed geometry.

Cell: 4.249 4.249 3.906 Å, 90.00 90.00 120.00°
Sites, in units of the cell vectors:
Mn: 0.000 0.668 0.000
Mn: 0.332 0.332 0.000
Mn: 0.333 0.667 0.500
Mn: 0.667 0.333 0.500
Mn: 0.668 0.000 0.000
Co: 0.000 0.000 0.500

## Properties
**Total DFT energy (no corrections)**: -17.884 eV/atom
**DFT formation energy**: 212 meV per atom
**Polymorph energy (0 for the lowest one)**: 0.1826 eV per atom
**Fermi-level density of states**: 6.94 states/eV per cell


Record 2
Density functional theory data (SCAN) for NbCo2 at its PBEsol-relaxed geometry.

Cell: 4.703 4.703 4.703 Å, 60.00 60.00 60.00°
Sites, in units of the cell vectors:
Nb: 0.125 0.125 0.125
Nb: 0.875 0.875 0.875
Co: 0.000 0.500 0.500
Co: 0.500 0.000 0.500
Co: 0.500 0.500 0.000
Co: 0.500 0.500 0.500

## Properties
**Total DFT energy (no corrections)**: -22.622 eV/atom
**DFT formation energy**: -42 meV per atom
**Fermi-level density of states**: 4.60 states/eV per cell